1.
Compound: Li2MgNbAl2Ir2
Source: the Open Quantum Materials Database
Functional: PBE-GGA
Structure: optimized geometry

energy: -5.6511 eV per atom
spin magnetization: 0.00 μB per atom

abc: 4.388 4.388 6.163
angles: 90.00 90.00 90.00
Space group P-4m2 (No. 115)
Inequivalent atoms, fractional coordinates:
Li1 0.000 0.500 0.236 (multiplicity 2)
Mg1 0.500 0.500 0.000 (multiplicity 1)
Nb1 0.000 0.000 0.500 (multiplicity 1)
Al1 0.000 0.000 0.000 (multiplicity 1)
Al2 0.500 0.500 0.500 (multiplicity 1)
Ir1 0.000 0.500 0.732 (multiplicity 2)

2.
Compound: Li2Mg2Al2NiIr
Source: the Open Quantum Materials Database
Functional: PBE-GGA
Structure: optimized geometry

energy: -4.0304 eV per atom
spin magnetization: 0.00 μB per atom

abc: 4.337 4.337 6.104
angles: 90.00 90.00 90.00
Space group P-4m2 (No. 115)
Inequivalent atoms, fractional coordinates:
Li1 0.000 0.000 0.000 (multiplicity 1)
Li2 0.500 0.500 0.500 (multiplicity 1)
Mg1 0.000 0.500 0.242 (multiplicity 2)
Al1 0.000 0.500 0.745 (multiplicity 2)
Ni1 0.500 0.500 0.000 (multiplicity 1)
Ir1 0.000 0.000 0.500 (multiplicity 1)

3.
Compound: Li2Mg2Al2IrPt
Source: the Open Quantum Materials Database
Functional: PBE-GGA
Structure: optimized geometry

energy: -4.3150 eV per atom
spin magnetization: 0.00 μB per atom

abc: 4.380 4.380 6.207
angles: 90.00 90.00 90.00
Space group P-4m2 (No. 115)
Inequivalent atoms, fractional coordinates:
Li1 0.000 0.000 0.000 (multiplicity 1)
Li2 0.500 0.500 0.500 (multiplicity 1)
Mg1 0.000 0.500 0.248 (multiplicity 2)
Al1 0.000 0.500 0.761 (multiplicity 2)
Ir1 0.500 0.500 0.000 (multiplicity 1)
Pt1 0.000 0.000 0.500 (multiplicity 1)

- The highest energy belongs to which entry?
  Li2Mg2Al2NiIr

- Which formula does entry 2 have?
  Li2Mg2Al2NiIr